Record 1
Crystalline ReP4 at its relaxed geometry, computed with PBE.

a b c (Å): 5.3722 5.3722 7.3974
angles (deg): 90.00 90.00 134.06
With the nearest neighbours (Å) after each atom.
Positions (direct):
Re: 0.0000 0.0000 0.0000  6 P 2.38-2.47
Re: 0.5000 0.5000 0.5000  6 P 2.38-2.47
P: 0.0708 0.9292 0.6484  1 P 2.27, 2 Re 2.47
P: 0.2011 0.7989 0.1757  3 P 2.27-2.37, 1 Re 2.38
P: 0.2989 0.7011 0.6757  3 P 2.27-2.37, 1 Re 2.38
P: 0.4292 0.5708 0.1484  1 P 2.27, 2 Re 2.47
P: 0.5708 0.4292 0.8516  1 P 2.27, 2 Re 2.47
P: 0.7011 0.2989 0.3243  3 P 2.27-2.37, 1 Re 2.38
P: 0.7989 0.2011 0.8243  3 P 2.27-2.37, 1 Re 2.38
P: 0.9292 0.0708 0.3516  1 P 2.27, 2 Re 2.47

Properties
* ΔE to the lowest computed polymorph: 309.6 meV/atom
* DFT formation energy: -0.1 eV/f.u.
* raw total energy: -68.29 eV/cell

***

Record 2
Crystalline BaTl2Tc at its relaxed geometry, computed with PBE.

a b c (Å): 4.6999 4.6999 6.8770
angles (deg): 110.59 110.59 60.87
With the nearest neighbours (Å) after each atom.
Positions (direct):
Ba: 0.0000 0.0000 0.0000  6 Tl 3.53-3.55
Tl: 0.2143 0.2143 0.6416  3 Tc 2.85-2.87
Tl: 0.7857 0.7857 0.3584  3 Tc 2.85-2.87
Tc: 0.5000 0.5000 0.5000  6 Tl 2.85-2.87

Properties
* ΔE to the lowest computed polymorph: 8.9 meV/atom
* DFT formation energy: 1.4 eV/f.u.
* raw total energy: -15.58 eV/cell

***

Record 3
Crystalline ZnGaN2 at its relaxed geometry, computed with PBE.

a b c (Å): 3.8446 3.8446 3.8446
angles (deg): 60.00 60.00 60.00
With the nearest neighbours (Å) after each atom.
Positions (direct):
Zn: 0.0000 0.0000 0.0000  8 N 2.35
Ga: 0.5000 0.5000 0.5000  8 N 2.35
N: 0.2500 0.2500 0.2500  4 Zn 2.35, 4 Ga 2.35
N: 0.7500 0.7500 0.7500  4 Zn 2.35, 4 Ga 2.35

Properties
* ΔE to the lowest computed polymorph: 1073.1 meV/atom
* raw formation energy: 1.1512 eV per atom
* raw total energy: -16.35 eV/cell

***

Record 4
Crystalline SrAsPdSe2 at its relaxed geometry, computed with PBE.

a b c (Å): 5.6842 5.6842 5.1388
angles (deg): 90.00 90.00 90.00
With the nearest neighbours (Å) after each atom.
Positions (direct):
Sr: 0.0000 0.0000 0.0000  2 Pd 2.57, 4 Se 2.84
As: 0.5000 0.5000 0.5000  8 Se 3.83, 4 Pd 4.02
Pd: 0.0000 0.0000 0.5000  2 Sr 2.57
Se: 0.0000 0.5000 0.0000  2 Sr 2.84
Se: 0.5000 0.0000 0.0000  2 Sr 2.84

Properties
* ΔE to the lowest computed polymorph: 1268.0 meV/atom
* raw formation energy: 0.7258 eV per atom
* raw total energy: -14.86 eV/cell

***

Record 5
Crystalline InCuNO2 at its relaxed geometry, computed with PBE.

a b c (Å): 4.1523 4.1523 4.2511
angles (deg): 90.00 90.00 90.00
With the nearest neighbours (Å) after each atom.
Positions (direct):
In: 0.0000 0.0000 0.0000  4 O 2.08, 2 N 2.13
Cu: 0.5000 0.5000 0.5000  4 N 2.94, 8 O 2.97
N: 0.0000 0.0000 0.5000  2 In 2.13
O: 0.0000 0.5000 0.0000  2 In 2.08
O: 0.5000 0.0000 0.0000  2 In 2.08

Properties
* raw formation energy: 0.7329 eV per atom
* raw total energy: -21.41 eV/cell

***

Record 6
Crystalline Y3AsW at its relaxed geometry, computed with PBE.

a b c (Å): 5.3118 5.3118 5.3118
angles (deg): 90.00 90.00 90.00
With the nearest neighbours (Å) after each atom.
Positions (direct):
Y: 0.0000 0.0000 0.5000  2 As 2.66
Y: 0.0000 0.5000 0.0000  2 As 2.66
Y: 0.5000 0.0000 0.0000  2 As 2.66
As: 0.0000 0.0000 0.0000  6 Y 2.66
W: 0.5000 0.5000 0.5000  12 Y 3.76

Properties
* ΔE to the lowest computed polymorph: 0.0 meV/atom
* DFT formation energy: 2.4 eV/f.u.
* raw total energy: -34.58 eV/cell